[1]
A relaxed Sm13Tm2 crystal, computed with PBE. Values from VASP.

Values from the calculation:
space-group type: P-1 (2)
calculated formation energy: 90 kJ/mol of formula units
calculated volume: 33.09 Å³ per atom

Geometry as Quantum ESPRESSO input:
```
&SYSTEM
  ibrav = 0, nat = 15, ntyp = 2
/
ATOMIC_SPECIES
Sm 150.36 Sm.upf
Tm 168.93 Tm.upf
CELL_PARAMETERS angstrom
-2.397 -4.236 -4.608
-2.601 -4.576 7.369
-6.430 5.392 -3.412
ATOMIC_POSITIONS crystal
Sm 0.702 0.628 0.026
Sm 0.298 0.372 0.974
Sm 0.000 0.000 0.000
Sm 0.305 0.040 0.639
Sm 0.695 0.960 0.361
Sm 0.103 0.564 0.765
Sm 0.897 0.436 0.235
Sm 0.396 0.602 0.405
Sm 0.604 0.398 0.595
Sm 0.498 0.832 0.835
Sm 0.502 0.168 0.165
Sm 0.806 0.195 0.793
Sm 0.194 0.805 0.207
Tm 0.902 0.769 0.570
Tm 0.098 0.231 0.430
```

[2]
A relaxed BaCeI crystal, computed with PBE. Values from VASP.

Values from the calculation:
raw formation energy: -0.520 eV per atom
space-group type: C2/m (12)
calculated volume: 39.96 Å³ per atom

Geometry as Quantum ESPRESSO input:
```
&SYSTEM
  ibrav = 0, nat = 6, ntyp = 3
/
ATOMIC_SPECIES
Ce 140.12 Ce.upf
Ba 137.33 Ba.upf
I 126.90 I.upf
CELL_PARAMETERS angstrom
4.454 0.000 0.000
0.000 4.506 0.236
-2.227 -0.726 11.908
ATOMIC_POSITIONS crystal
Ce 0.750 0.227 0.501
Ce 0.250 0.773 0.499
Ba 0.585 0.755 0.170
Ba 0.415 0.245 0.830
I 0.856 0.741 0.711
I 0.144 0.259 0.289
```

[3]
A relaxed ErAlAg4 crystal, computed with PBE. Values from VASP.

Values from the calculation:
offset from the most stable computed form: 0.000 eV/atom
space-group type: F-43m (216)
calculated formation energy: -78 kJ/mol of formula units
calculated volume: 19.83 Å³ per atom

Geometry as Quantum ESPRESSO input:
```
&SYSTEM
  ibrav = 0, nat = 6, ntyp = 3
/
ATOMIC_SPECIES
Al 26.98 Al.upf
Ag 107.87 Ag.upf
Er 167.26 Er.upf
CELL_PARAMETERS angstrom
5.521 0.000 0.000
2.760 4.781 0.000
2.760 1.594 4.508
ATOMIC_POSITIONS crystal
Al 0.000 0.000 0.000
Ag 0.625 0.625 0.124
Ag 0.625 0.124 0.625
Ag 0.625 0.625 0.625
Ag 0.124 0.625 0.625
Er 0.250 0.250 0.250
```

| no. | total moment (μB/cell) |
| --- | --- |
| 1 | 0.00 |
| 2 | 1.96 |
| 3 | 0.00 |